(one)
# Y5HoTh2 PBE optimized geometry
# calculated volume: 32.6 Å³ per atom
# DOS(E_F): 43.3 states/eV per cell
# calculated density: 6.8 g cm⁻³
# crystal system: tetragonal
data_Y5HoTh2
_space_group_name_H-M_alt 'I 4/m c m'
_space_group_IT_number 140
_space_group_name_Hall '-I 4 2c'
_cell_length_a 8.8086
_cell_length_b 8.8086
_cell_length_c 13.4439
_cell_angle_alpha 90.00
_cell_angle_beta 90.00
_cell_angle_gamma 90.00
loop_
_atom_site_label
_atom_site_type_symbol
_atom_site_fract_x
_atom_site_fract_y
_atom_site_fract_z
Y1 Y 0.0000 0.0000 0.0000
Y2 Y 0.1532 0.3468 0.1612
Ho1 Ho 0.0000 0.0000 0.2500
Th1 Th 0.1400 0.3600 0.5000

---

(two)
# Y5HoTh2 PBE optimized geometry
# calculated volume: 32.8 Å³ per atom
# DOS(E_F): 63.7 states/eV per cell
# calculated density: 6.8 g cm⁻³
# crystal system: monoclinic
data_Y5HoTh2
_space_group_name_H-M_alt 'C 1 2/c 1'
_space_group_IT_number 15
_space_group_name_Hall '-C 2yc'
_cell_length_a 14.9235
_cell_length_b 11.9412
_cell_length_c 6.5586
_cell_angle_alpha 90.00
_cell_angle_beta 115.97
_cell_angle_gamma 90.00
loop_
_atom_site_label
_atom_site_type_symbol
_atom_site_fract_x
_atom_site_fract_y
_atom_site_fract_z
Y1 Y 0.0000 0.2354 0.2500
Y2 Y 0.1316 0.2803 0.8818
Y3 Y 0.2318 0.0002 0.2315
Ho1 Ho 0.0000 0.0445 0.7500
Th1 Th 0.0000 0.5000 0.0000
Th2 Th 0.2500 0.2500 0.5000

---

(one) comes first in stability; the runner-up is 98 meV per atom higher.

---

(one)
# YHo6Th4 PBE optimized geometry
# calculated volume: 32.3 Å³ per atom
# DOS(E_F): 30.5 states/eV per cell
# calculated density: 9.4 g cm⁻³
# crystal system: orthorhombic
data_YHo6Th4
_space_group_name_H-M_alt 'I m m m'
_space_group_IT_number 71
_space_group_name_Hall '-I 2 2'
_cell_length_a 3.4209
_cell_length_b 5.8329
_cell_length_c 35.6453
_cell_angle_alpha 90.00
_cell_angle_beta 90.00
_cell_angle_gamma 90.00
loop_
_atom_site_label
_atom_site_type_symbol
_atom_site_fract_x
_atom_site_fract_y
_atom_site_fract_z
Y1 Y 0.0000 0.0000 0.0000
Ho1 Ho 0.0000 0.5000 0.1313
Ho2 Ho 0.0000 0.5000 0.2329
Ho3 Ho 0.0000 0.5000 0.4043
Th1 Th 0.0000 0.0000 0.1820
Th2 Th 0.0000 0.0000 0.4559

---

(two)
# YHo6Th4 PBE optimized geometry
# calculated volume: 36.1 Å³ per atom
# DOS(E_F): 29.5 states/eV per cell
# calculated density: 8.4 g cm⁻³
# crystal system: tetragonal
data_YHo6Th4
_space_group_name_H-M_alt 'I -4 2 m'
_space_group_IT_number 121
_space_group_name_Hall 'I -4 2'
_cell_length_a 7.8485
_cell_length_b 7.8485
_cell_length_c 12.8852
_cell_angle_alpha 90.00
_cell_angle_beta 90.00
_cell_angle_gamma 90.00
loop_
_atom_site_label
_atom_site_type_symbol
_atom_site_fract_x
_atom_site_fract_y
_atom_site_fract_z
Y1 Y 0.0000 0.0000 0.0000
Ho1 Ho 0.0000 0.5000 0.0000
Ho2 Ho 0.2434 0.2434 0.6828
Th1 Th 0.1678 0.1678 0.4262

---

(one) comes first in stability; the runner-up is 342 meV per atom higher.

---

(one)
# Y5Ho4Th PBE optimized geometry
# calculated volume: 32.2 Å³ per atom
# DOS(E_F): 18.2 states/eV per cell
# calculated density: 6.9 g cm⁻³
# crystal system: triclinic
data_Y5Ho4Th
_space_group_name_H-M_alt 'P 1'
_space_group_IT_number 1
_space_group_name_Hall 'P 1'
_cell_length_a 6.2786
_cell_length_b 6.7274
_cell_length_c 8.4552
_cell_angle_alpha 77.46
_cell_angle_beta 68.23
_cell_angle_gamma 89.99
loop_
_atom_site_label
_atom_site_type_symbol
_atom_site_fract_x
_atom_site_fract_y
_atom_site_fract_z
Y1 Y 0.0000 0.0000 0.0000
Y2 Y 0.0277 0.9015 0.5974
Y3 Y 0.2402 0.3054 0.1969
Y4 Y 0.4337 0.6990 0.8008
Y5 Y 0.7946 0.5919 0.4008
Ho1 Ho 0.2005 0.3983 0.6016
Ho2 Ho 0.4005 0.8064 0.1969
Ho3 Ho 0.6324 0.0927 0.4039
Ho4 Ho 0.8257 0.4967 0.0001
Th1 Th 0.5972 0.2005 0.7983

---

(two)
# Y5Ho4Th PBE optimized geometry
# calculated volume: 32.0 Å³ per atom
# DOS(E_F): 31.0 states/eV per cell
# calculated density: 6.9 g cm⁻³
# crystal system: monoclinic
data_Y5Ho4Th
_space_group_name_H-M_alt 'C 1 2/m 1'
_space_group_IT_number 12
_space_group_name_Hall '-C 2y'
_cell_length_a 16.7385
_cell_length_b 3.5299
_cell_length_c 11.4299
_cell_angle_alpha 90.00
_cell_angle_beta 108.74
_cell_angle_gamma 90.00
loop_
_atom_site_label
_atom_site_type_symbol
_atom_site_fract_x
_atom_site_fract_y
_atom_site_fract_z
Y1 Y 0.0000 0.0000 0.0000
Y2 Y 0.1911 0.5000 0.0814
Y3 Y 0.2053 0.5000 0.6156
Ho1 Ho 0.0841 0.5000 0.2965
Ho2 Ho 0.1050 0.0000 0.7991
Th1 Th 0.0000 0.0000 0.5000

---

(one) comes first in stability; the runner-up is 16 meV per atom higher.

---

(one)
# Y5Ho3Th3 PBE optimized geometry
# calculated volume: 41.3 Å³ per atom
# DOS(E_F): 18.6 states/eV per cell
# calculated density: 6.0 g cm⁻³
# crystal system: hexagonal
data_Y5Ho3Th3
_space_group_name_H-M_alt 'P -6 2 m'
_space_group_IT_number 189
_space_group_name_Hall 'P -6 -2'
_cell_length_a 9.8437
_cell_length_b 9.8437
_cell_length_c 5.4083
_cell_angle_alpha 90.00
_cell_angle_beta 90.00
_cell_angle_gamma 120.00
loop_
_atom_site_label
_atom_site_type_symbol
_atom_site_fract_x
_atom_site_fract_y
_atom_site_fract_z
Y1 Y 0.0000 0.7370 0.0000
Y2 Y 0.3333 0.6667 0.0000
Ho1 Ho 0.0000 0.5396 0.5000
Th1 Th 0.0000 0.3694 0.0000

---

(two)
# Y5Ho3Th3 PBE optimized geometry
# calculated volume: 33.7 Å³ per atom
# DOS(E_F): 21.6 states/eV per cell
# calculated density: 7.3 g cm⁻³
# crystal system: hexagonal
data_Y5Ho3Th3
_space_group_name_H-M_alt 'P -6 2 m'
_space_group_IT_number 189
_space_group_name_Hall 'P -6 -2'
_cell_length_a 11.1784
_cell_length_b 11.1784
_cell_length_c 3.4305
_cell_angle_alpha 90.00
_cell_angle_beta 90.00
_cell_angle_gamma 120.00
loop_
_atom_site_label
_atom_site_type_symbol
_atom_site_fract_x
_atom_site_fract_y
_atom_site_fract_z
Y1 Y 0.0000 0.6592 0.0000
Y2 Y 0.3333 0.6667 0.0000
Ho1 Ho 0.0000 0.1603 0.0000
Th1 Th 0.0000 0.4021 0.5000

---

(two) comes first in stability; the runner-up is 550 meV per atom higher.

---

(one)
# Y2HoTh PBE optimized geometry
# calculated volume: 32.4 Å³ per atom
# DOS(E_F): 33.5 states/eV per cell
# calculated density: 7.4 g cm⁻³
# crystal system: cubic
data_Y2HoTh
_space_group_name_H-M_alt 'F m -3 m'
_space_group_IT_number 225
_space_group_name_Hall '-F 4 2 3'
_cell_length_a 8.0322
_cell_length_b 8.0322
_cell_length_c 8.0322
_cell_angle_alpha 90.00
_cell_angle_beta 90.00
_cell_angle_gamma 90.00
loop_
_atom_site_label
_atom_site_type_symbol
_atom_site_fract_x
_atom_site_fract_y
_atom_site_fract_z
Y1 Y 0.2500 0.2500 0.2500
Ho1 Ho 0.0000 0.0000 0.0000
Th1 Th 0.0000 0.0000 0.5000

---

(two)
# Y2HoTh PBE optimized geometry
# calculated volume: 32.3 Å³ per atom
# DOS(E_F): 13.2 states/eV per cell
# calculated density: 7.4 g cm⁻³
# crystal system: triclinic
data_Y2HoTh
_space_group_name_H-M_alt 'P -1'
_space_group_IT_number 2
_space_group_name_Hall '-P 1'
_cell_length_a 3.5495
_cell_length_b 6.7823
_cell_length_c 11.1019
_cell_angle_alpha 90.70
_cell_angle_beta 90.02
_cell_angle_gamma 105.09
loop_
_atom_site_label
_atom_site_type_symbol
_atom_site_fract_x
_atom_site_fract_y
_atom_site_fract_z
Y1 Y 0.0193 0.0381 0.2452
Y2 Y 0.2462 0.4911 0.7461
Ho1 Ho 0.3688 0.7383 0.0146
Th1 Th 0.3718 0.7457 0.4856

---

(three)
# Y2HoTh PBE optimized geometry
# calculated volume: 32.0 Å³ per atom
# DOS(E_F): 18.4 states/eV per cell
# calculated density: 7.5 g cm⁻³
# crystal system: trigonal
data_Y2HoTh
_space_group_name_H-M_alt 'R -3 m'
_space_group_IT_number 166
_space_group_name_Hall '-R 3 2"'
_cell_length_a 3.5757
_cell_length_b 3.5757
_cell_length_c 34.6718
_cell_angle_alpha 90.00
_cell_angle_beta 90.00
_cell_angle_gamma 120.00
loop_
_atom_site_label
_atom_site_type_symbol
_atom_site_fract_x
_atom_site_fract_y
_atom_site_fract_z
Y1 Y 0.0000 0.0000 0.2489
Ho1 Ho 0.0000 0.0000 0.0000
Th1 Th 0.0000 0.0000 0.5000

---

(three) comes first in stability; the runner-up is 12 meV per atom higher.

---

(one)
# Y7Ho2Th2 PBE optimized geometry
# calculated volume: 32.8 Å³ per atom
# DOS(E_F): 35.2 states/eV per cell
# calculated density: 6.5 g cm⁻³
# crystal system: monoclinic
data_Y7Ho2Th2
_space_group_name_H-M_alt 'C 1 2/m 1'
_space_group_IT_number 12
_space_group_name_Hall '-C 2y'
_cell_length_a 11.1496
_cell_length_b 11.4786
_cell_length_c 6.1024
_cell_angle_alpha 90.00
_cell_angle_beta 112.67
_cell_angle_gamma 90.00
loop_
_atom_site_label
_atom_site_type_symbol
_atom_site_fract_x
_atom_site_fract_y
_atom_site_fract_z
Y1 Y 0.0000 0.0000 0.0000
Y2 Y 0.1750 0.2367 0.1736
Y3 Y 0.2315 0.0000 0.5872
Ho1 Ho 0.0000 0.2200 0.5000
Th1 Th 0.0784 0.5000 0.8030

---

(two)
# Y7Ho2Th2 PBE optimized geometry
# calculated volume: 33.4 Å³ per atom
# DOS(E_F): 16.4 states/eV per cell
# calculated density: 6.4 g cm⁻³
# crystal system: orthorhombic
data_Y7Ho2Th2
_space_group_name_H-M_alt 'P m m m'
_space_group_IT_number 47
_space_group_name_Hall '-P 2 2'
_cell_length_a 5.6015
_cell_length_b 6.9226
_cell_length_c 9.4638
_cell_angle_alpha 90.00
_cell_angle_beta 90.00
_cell_angle_gamma 90.00
loop_
_atom_site_label
_atom_site_type_symbol
_atom_site_fract_x
_atom_site_fract_y
_atom_site_fract_z
Y1 Y 0.0000 0.0000 0.0000
Y2 Y 0.0000 0.5000 0.1698
Y3 Y 0.5000 0.0000 0.3091
Y4 Y 0.5000 0.5000 0.3399
Ho1 Ho 0.0000 0.2537 0.5000
Th1 Th 0.5000 0.2748 0.0000

---

(two) comes first in stability; the runner-up is 20 meV per atom higher.

---

(one)
# Y2Ho5Th2 PBE optimized geometry
# calculated volume: 34.0 Å³ per atom
# DOS(E_F): 27.3 states/eV per cell
# calculated density: 8.0 g cm⁻³
# crystal system: monoclinic
data_Y2Ho5Th2
_space_group_name_H-M_alt 'C 1 2/m 1'
_space_group_IT_number 12
_space_group_name_Hall '-C 2y'
_cell_length_a 22.4279
_cell_length_b 3.4657
_cell_length_c 7.9590
_cell_angle_alpha 90.00
_cell_angle_beta 98.24
_cell_angle_gamma 90.00
loop_
_atom_site_label
_atom_site_type_symbol
_atom_site_fract_x
_atom_site_fract_y
_atom_site_fract_z
Y1 Y 0.1770 0.0000 0.1487
Ho1 Ho 0.0000 0.0000 0.0000
Ho2 Ho 0.0906 0.0000 0.7289
Ho3 Ho 0.1925 0.5000 0.5451
Th1 Th 0.0543 0.5000 0.3499

---

(two)
# Y2Ho5Th2 PBE optimized geometry
# calculated volume: 32.3 Å³ per atom
# DOS(E_F): 55.2 states/eV per cell
# calculated density: 8.4 g cm⁻³
# crystal system: orthorhombic
data_Y2Ho5Th2
_space_group_name_H-M_alt 'I m a 2'
_space_group_IT_number 46
_space_group_name_Hall 'I 2 -2a'
_cell_length_a 14.8194
_cell_length_b 11.8621
_cell_length_c 6.6048
_cell_angle_alpha 90.00
_cell_angle_beta 90.00
_cell_angle_gamma 90.00
loop_
_atom_site_label
_atom_site_type_symbol
_atom_site_fract_x
_atom_site_fract_y
_atom_site_fract_z
Y1 Y 0.1250 0.0023 0.0000
Ho1 Ho 0.0531 0.7434 0.8363
Ho2 Ho 0.1427 0.2252 0.6414
Ho3 Ho 0.2500 0.7320 0.6486
Th1 Th 0.0000 0.0000 0.5312
Th2 Th 0.2500 0.5012 0.9690

---

(two) comes first in stability; the runner-up is 42 meV per atom higher.

---

(one)
# Y12Ho5Th2 PBE optimized geometry
# calculated volume: 32.7 Å³ per atom
# DOS(E_F): 30.2 states/eV per cell
# calculated density: 6.3 g cm⁻³
# crystal system: triclinic
data_Y12Ho5Th2
_space_group_name_H-M_alt 'P 1'
_space_group_IT_number 1
_space_group_name_Hall 'P 1'
_cell_length_a 8.4027
_cell_length_b 8.7474
_cell_length_c 10.0199
_cell_angle_alpha 94.71
_cell_angle_beta 101.34
_cell_angle_gamma 118.49
loop_
_atom_site_label
_atom_site_type_symbol
_atom_site_fract_x
_atom_site_fract_y
_atom_site_fract_z
Y1 Y 0.0000 0.0000 0.0000
Y2 Y 0.0146 0.4080 0.5628
Y3 Y 0.1197 0.7614 0.2218
Y4 Y 0.1823 0.1589 0.3939
Y5 Y 0.2446 0.8823 0.5983
Y6 Y 0.2856 0.4904 0.0682
Y7 Y 0.3861 0.6248 0.4289
Y8 Y 0.4488 0.0455 0.0350
Y9 Y 0.6183 0.4445 0.6440
Y10 Y 0.6856 0.4977 0.9956
Y11 Y 0.8373 0.9006 0.5942
Y12 Y 0.9127 0.3050 0.1973
Ho1 Ho 0.4940 0.7210 0.8126
Ho2 Ho 0.5718 0.0871 0.4146
Ho3 Ho 0.7082 0.8629 0.2149
Ho4 Ho 0.7171 0.5198 0.3436
Ho5 Ho 0.7846 0.1999 0.8180
Th1 Th 0.0646 0.6747 0.8516
Th2 Th 0.2343 0.2399 0.7761

---

(two)
# Y12Ho5Th2 PBE optimized geometry
# calculated volume: 33.1 Å³ per atom
# DOS(E_F): 60.1 states/eV per cell
# calculated density: 6.2 g cm⁻³
# crystal system: monoclinic
data_Y12Ho5Th2
_space_group_name_H-M_alt 'C 1 2/m 1'
_space_group_IT_number 12
_space_group_name_Hall '-C 2y'
_cell_length_a 15.5479
_cell_length_b 9.4413
_cell_length_c 8.5765
_cell_angle_alpha 90.00
_cell_angle_beta 91.66
_cell_angle_gamma 90.00
loop_
_atom_site_label
_atom_site_type_symbol
_atom_site_fract_x
_atom_site_fract_y
_atom_site_fract_z
Y1 Y 0.0582 0.0000 0.3259
Y2 Y 0.0829 0.5000 0.8785
Y3 Y 0.1279 0.1921 0.6596
Y4 Y 0.1517 0.3211 0.2393
Ho1 Ho 0.0000 0.5000 0.5000
Ho2 Ho 0.1971 0.0000 0.0170
Ho3 Ho 0.2311 0.5000 0.5737
Th1 Th 0.0000 0.1751 0.0000

---

(one) comes first in stability; the runner-up is 44 meV per atom higher.

---

(one)
# Y2Ho8Th3 PBE optimized geometry
# calculated volume: 32.3 Å³ per atom
# DOS(E_F): 42.6 states/eV per cell
# calculated density: 8.7 g cm⁻³
# crystal system: monoclinic
data_Y2Ho8Th3
_space_group_name_H-M_alt 'C 1 2/m 1'
_space_group_IT_number 12
_space_group_name_Hall '-C 2y'
_cell_length_a 22.8766
_cell_length_b 6.7579
_cell_length_c 5.6074
_cell_angle_alpha 90.00
_cell_angle_beta 104.15
_cell_angle_gamma 90.00
loop_
_atom_site_label
_atom_site_type_symbol
_atom_site_fract_x
_atom_site_fract_y
_atom_site_fract_z
Y1 Y 0.2239 0.0000 0.2243
Ho1 Ho 0.0750 0.0000 0.0754
Ho2 Ho 0.1498 0.2390 0.6505
Ho3 Ho 0.1821 0.5000 0.1826
Th1 Th 0.0000 0.2324 0.5000
Th2 Th 0.0000 0.5000 0.0000

---

(two)
# Y2Ho8Th3 PBE optimized geometry
# calculated volume: 34.1 Å³ per atom
# DOS(E_F): 42.3 states/eV per cell
# calculated density: 8.2 g cm⁻³
# crystal system: monoclinic
data_Y2Ho8Th3
_space_group_name_H-M_alt 'C 1 2/m 1'
_space_group_IT_number 12
_space_group_name_Hall '-C 2y'
_cell_length_a 14.7886
_cell_length_b 9.2172
_cell_length_c 6.6063
_cell_angle_alpha 90.00
_cell_angle_beta 99.60
_cell_angle_gamma 90.00
loop_
_atom_site_label
_atom_site_type_symbol
_atom_site_fract_x
_atom_site_fract_y
_atom_site_fract_z
Y1 Y 0.2137 0.0000 0.2954
Ho1 Ho 0.0814 0.5000 0.3703
Ho2 Ho 0.1124 0.3215 0.9352
Ho3 Ho 0.1963 0.0000 0.7880
Th1 Th 0.0000 0.0000 0.0000
Th2 Th 0.0000 0.1691 0.5000

---

(one) comes first in stability; the runner-up is 117 meV per atom higher.

---

(one)
# Y5Ho2Th4 PBE optimized geometry
# calculated volume: 32.1 Å³ per atom
# DOS(E_F): 32.9 states/eV per cell
# calculated density: 8.0 g cm⁻³
# crystal system: monoclinic
data_Y5Ho2Th4
_space_group_name_H-M_alt 'C 1 2/m 1'
_space_group_IT_number 12
_space_group_name_Hall '-C 2y'
_cell_length_a 23.4604
_cell_length_b 3.5835
_cell_length_c 8.6939
_cell_angle_alpha 90.00
_cell_angle_beta 104.69
_cell_angle_gamma 90.00
loop_
_atom_site_label
_atom_site_type_symbol
_atom_site_fract_x
_atom_site_fract_y
_atom_site_fract_z
Y1 Y 0.0000 0.0000 0.0000
Y2 Y 0.1369 0.5000 0.0956
Y3 Y 0.2260 0.5000 0.8104
Ho1 Ho 0.0885 0.0000 0.7163
Th1 Th 0.0464 0.5000 0.3646
Th2 Th 0.1821 0.0000 0.4524

---

(two)
# Y5Ho2Th4 PBE optimized geometry
# calculated volume: 33.0 Å³ per atom
# DOS(E_F): 32.8 states/eV per cell
# calculated density: 7.8 g cm⁻³
# crystal system: monoclinic
data_Y5Ho2Th4
_space_group_name_H-M_alt 'C 1 2/m 1'
_space_group_IT_number 12
_space_group_name_Hall '-C 2y'
_cell_length_a 16.7785
_cell_length_b 6.6662
_cell_length_c 6.5747
_cell_angle_alpha 90.00
_cell_angle_beta 98.88
_cell_angle_gamma 90.00
loop_
_atom_site_label
_atom_site_type_symbol
_atom_site_fract_x
_atom_site_fract_y
_atom_site_fract_z
Y1 Y 0.0000 0.0000 0.0000
Y2 Y 0.0870 0.2598 0.4079
Ho1 Ho 0.1977 0.0000 0.8220
Th1 Th 0.0949 0.5000 0.9108
Th2 Th 0.2485 0.0000 0.3372

---

(one) comes first in stability; the runner-up is 182 meV per atom higher.